NpPaPd | GGA-PBE | optimized geometry

a = 6.398 Å, b = 6.398 Å, c = 6.398 Å
α = 90.00°, β = 90.00°, γ = 90.00°
Space group F-43m (No. 216)
Asymmetric unit:
Np 0.000 0.000 0.000 [4 per cell]
Pa 0.250 0.250 0.750 [4 per cell]
Pd 0.250 0.250 0.250 [4 per cell]

Output
Excess energy over the best structure of this formula in the dataset in eV/atom: 0.0000
Energy relative to the elements in eV per atom: 0.11
Magnetization in μB/f.u.: 4.21

***

NiHgBPt | GGA-PBE | optimized geometry

a = 5.990 Å, b = 5.990 Å, c = 5.990 Å
α = 90.00°, β = 90.00°, γ = 90.00°
Space group F-43m (No. 216)
Asymmetric unit:
Ni 0.000 0.000 0.000 [4 per cell]
Hg 0.250 0.250 0.250 [4 per cell]
B 0.000 0.000 0.500 [4 per cell]
Pt 0.250 0.250 0.750 [4 per cell]

Output
Excess energy over the best structure of this formula in the dataset in eV/atom: 0.0000
Magnetization in μB/f.u.: 0.01

***

CsPdAu3S4 | GGA-PBE | optimized geometry

a = 6.301 Å, b = 6.301 Å, c = 6.301 Å
α = 90.00°, β = 90.00°, γ = 90.00°
Space group P-43m (No. 215)
Asymmetric unit:
Cs 0.000 0.000 0.000 [1 per cell]
Pd 0.500 0.500 0.500 [1 per cell]
Au 0.000 0.500 0.500 [3 per cell]
S 0.287 0.287 0.287 [4 per cell]

Output
Total DFT energy (no corrections) in eV/cell: -31.93

***

Si2Tc2B | GGA-PBE | optimized geometry

a = 3.973 Å, b = 3.973 Å, c = 10.019 Å
α = 90.00°, β = 90.00°, γ = 90.00°
Space group I4/mmm (No. 139)
Asymmetric unit:
Si 0.000 0.000 0.112 [4 per cell]
Tc 0.000 0.500 0.250 [4 per cell]
B 0.000 0.000 0.500 [2 per cell]

Output
Total DFT energy (no corrections) in eV/cell: -67.28
Magnetization in μB/f.u.: 0.03

***

LaTmAl2Pd4 | GGA-PBE | optimized geometry

a = 4.3975 Å, b = 4.3975 Å, c = 9.2894 Å
α = 90.00°, β = 90.00°, γ = 120.00°
Space group P-6m2 (No. 187)
Asymmetric unit:
La 0.0000 0.0000 0.0000 [1 per cell]
Tm 0.6667 0.3333 0.5000 [1 per cell]
Al 0.3333 0.6667 0.2646 [2 per cell]
Pd 0.0000 0.0000 0.3388 [2 per cell]
Pd 0.6667 0.3333 0.1891 [2 per cell]

Output
Total DFT energy (no corrections) in eV/cell: -44.97
Magnetization in μB/f.u.: 0.00

***

Hf9W4S | GGA-PBE | optimized geometry

a = 8.6942 Å, b = 8.6942 Å, c = 8.5712 Å
α = 90.00°, β = 90.00°, γ = 120.00°
Space group P6_3/mmc (No. 194)
Asymmetric unit:
Hf 0.0889 0.5445 0.2500 [6 per cell]
Hf 0.1961 0.3922 0.5521 [12 per cell]
W 0.0000 0.0000 0.0000 [2 per cell]
W 0.1110 0.2221 0.2500 [6 per cell]
S 0.3333 0.6667 0.7500 [2 per cell]

Output
Total DFT energy (no corrections) in eV/cell: -299.15
Magnetization in μB/f.u.: 0.02

***

Al2CdTe3Se | GGA-PBE | optimized geometry

a = 6.153 Å, b = 6.198 Å, c = 7.205 Å
α = 115.20°, β = 113.90°, γ = 91.13°
Space group P1 (No. 1)
Asymmetric unit:
Al 0.000 0.000 0.000 [1 per cell]
Al 0.234 0.759 0.518 [1 per cell]
Cd 0.483 0.483 0.005 [1 per cell]
Te 0.379 0.913 0.286 [1 per cell]
Te 0.622 0.615 0.726 [1 per cell]
Te 0.881 0.355 0.285 [1 per cell]
Se 0.091 0.092 0.739 [1 per cell]

Output
Total DFT energy (no corrections) in eV/cell: -25.13

***

Zn5Tc | GGA-PBE | optimized geometry

a = 4.8194 Å, b = 4.8194 Å, c = 4.2360 Å
α = 90.00°, β = 90.00°, γ = 120.00°
Space group P-62m (No. 189)
Asymmetric unit:
Zn 0.0000 0.3354 0.0000 [3 per cell]
Zn 0.3333 0.6667 0.5000 [2 per cell]
Tc 0.0000 0.0000 0.5000 [1 per cell]

Output
Energy relative to the elements in eV per atom: 0.10
Magnetization in μB/f.u.: 0.03

***

LiLuW2 | GGA-PBE | optimized geometry

a = 6.501 Å, b = 6.501 Å, c = 6.501 Å
α = 90.00°, β = 90.00°, γ = 90.00°
Space group F-43m (No. 216)
Asymmetric unit:
Li 0.000 0.000 0.000 [4 per cell]
Lu 0.250 0.250 0.250 [4 per cell]
W 0.000 0.000 0.500 [4 per cell]
W 0.250 0.250 0.750 [4 per cell]

Output
Total DFT energy (no corrections) in eV/cell: -123.51
Magnetization in μB/f.u.: 0.01

***

PmPaPd | GGA-PBE | optimized geometry

a = 6.930 Å, b = 6.930 Å, c = 6.930 Å
α = 90.00°, β = 90.00°, γ = 90.00°
Space group F-43m (No. 216)
Asymmetric unit:
Pm 0.000 0.000 0.000 [4 per cell]
Pa 0.000 0.000 0.500 [4 per cell]
Pd 0.250 0.250 0.750 [4 per cell]

Output
Energy relative to the elements in eV per atom: 0.08
Magnetization in μB/f.u.: 1.79

***

LiTmGe | GGA-PBE | optimized geometry

a = 4.8840 Å, b = 4.8840 Å, c = 5.8537 Å
α = 90.00°, β = 90.00°, γ = 120.00°
Space group P6_3/mmc (No. 194)
Asymmetric unit:
Li 0.0000 0.0000 0.0000 [2 per cell]
Tm 0.3333 0.6667 0.2500 [2 per cell]
Ge 0.3333 0.6667 0.7500 [2 per cell]

Output
Total DFT energy (no corrections) in eV/cell: -25.85
Magnetization in μB/f.u.: 0.00

***

ErLuTc | GGA-PBE | optimized geometry

a = 6.678 Å, b = 6.678 Å, c = 6.678 Å
α = 90.00°, β = 90.00°, γ = 90.00°
Space group F-43m (No. 216)
Asymmetric unit:
Er 0.000 0.000 0.000 [4 per cell]
Lu 0.250 0.250 0.750 [4 per cell]
Tc 0.250 0.250 0.250 [4 per cell]

Output
Energy relative to the elements in eV per atom: 0.95
Magnetization in μB/f.u.: 0.01

***

PrNdNi2Bi2As2 | GGA-PBE | optimized geometry

a = 4.328 Å, b = 4.328 Å, c = 9.808 Å
α = 90.00°, β = 90.00°, γ = 90.00°
Space group P4mm (No. 99)
Asymmetric unit:
Pr 0.000 0.000 0.000 [1 per cell]
Nd 0.500 0.500 0.442 [1 per cell]
Ni 0.000 0.500 0.223 [2 per cell]
Bi 0.000 0.500 0.720 [2 per cell]
As 0.000 0.000 0.341 [1 per cell]
As 0.500 0.500 0.104 [1 per cell]

Output
Total DFT energy (no corrections) in eV/cell: -43.88
Magnetization in μB/f.u.: 0.00

***

LaAu3F12 | GGA-PBE | optimized geometry

a = 10.4414 Å, b = 10.4414 Å, c = 14.2598 Å
α = 90.00°, β = 90.00°, γ = 120.00°
Space group R-3c (No. 167, hexagonal axes)
Asymmetric unit:
La 0.0000 0.0000 0.2500 [6 per cell]
Au 0.0000 0.4115 0.2500 [18 per cell]
F 0.0000 0.2218 0.2500 [18 per cell]
F 0.0000 0.4026 0.7500 [18 per cell]
F 0.0312 0.1544 0.8888 [36 per cell]

Output
Total DFT energy (no corrections) in eV/cell: -390.41
Magnetization in μB/f.u.: 0.00

***

TlPIrO | GGA-PBE | optimized geometry

a = 3.775 Å, b = 7.265 Å, c = 6.094 Å
α = 90.00°, β = 90.00°, γ = 90.00°
Space group Pmc2_1 (No. 26)
Asymmetric unit:
Tl 0.000 0.125 0.000 [2 per cell]
P 0.500 0.394 0.795 [2 per cell]
Ir 0.500 0.329 0.439 [2 per cell]
O 0.000 0.258 0.402 [2 per cell]

Output
Excess energy over the best structure of this formula in the dataset in eV/atom: 0.1732
Magnetization in μB/f.u.: 0.00

***

NdMgAsO | GGA-PBE | optimized geometry

a = 4.562 Å, b = 6.291 Å, c = 6.021 Å
α = 90.00°, β = 90.00°, γ = 90.00°
Space group Pmc2_1 (No. 26)
Asymmetric unit:
Nd 0.000 0.237 0.000 [2 per cell]
Mg 0.500 0.383 0.623 [2 per cell]
As 0.000 0.234 0.496 [2 per cell]
O 0.500 0.342 0.955 [2 per cell]

Output
Total DFT energy (no corrections) in eV/cell: -47.08
Magnetization in μB/f.u.: 0.00

***

YSiNiGe | GGA-PBE | optimized geometry

a = 4.037 Å, b = 16.766 Å, c = 4.062 Å
α = 90.00°, β = 90.00°, γ = 90.00°
Space group Cmcm (No. 63)
Asymmetric unit:
Y 0.000 0.110 0.250 [4 per cell]
Si 0.000 0.251 0.750 [4 per cell]
Ni 0.000 0.317 0.250 [4 per cell]
Ge 0.000 0.456 0.250 [4 per cell]

Output
Total DFT energy (no corrections) in eV/cell: -101.15
Magnetization in μB/f.u.: 0.00

***

Rb2NiN2 | GGA-PBE | optimized geometry

a = 5.713 Å, b = 12.511 Å, c = 5.214 Å
α = 90.00°, β = 90.00°, γ = 90.00°
Space group Cmcm (No. 63)
Asymmetric unit:
Rb 0.000 0.078 0.250 [4 per cell]
Rb 0.000 0.269 0.750 [4 per cell]
Ni 0.000 0.500 0.000 [4 per cell]
N 0.123 0.399 0.250 [8 per cell]

Output
Total DFT energy (no corrections) in eV/cell: -93.20
Magnetization in μB/f.u.: 0.00

***

TbErCu2Si4 | GGA-PBE | optimized geometry

a = 3.976 Å, b = 4.001 Å, c = 16.845 Å
α = 90.00°, β = 90.00°, γ = 90.00°
Space group Amm2 (No. 38)
Asymmetric unit:
Tb 0.000 0.000 0.000 [2 per cell]
Er 0.500 0.000 0.796 [2 per cell]
Cu 0.000 0.000 0.227 [2 per cell]
Cu 0.500 0.000 0.570 [2 per cell]
Si 0.000 0.000 0.361 [2 per cell]
Si 0.000 0.000 0.649 [2 per cell]
Si 0.500 0.000 0.148 [2 per cell]
Si 0.500 0.000 0.434 [2 per cell]

Output
Total DFT energy (no corrections) in eV/cell: -85.69
Magnetization in μB/f.u.: 0.00

***

Dy3HoEr2CoTe2 | GGA-PBE | optimized geometry

a = 3.886 Å, b = 14.415 Å, c = 8.348 Å
α = 90.00°, β = 90.00°, γ = 90.00°
Space group Amm2 (No. 38)
Asymmetric unit:
Dy 0.000 0.000 0.000 [2 per cell]
Dy 0.000 0.118 0.645 [4 per cell]
Ho 0.500 0.000 0.364 [2 per cell]
Er 0.500 0.199 0.963 [4 per cell]
Co 0.500 0.000 0.766 [2 per cell]
Te 0.000 0.167 0.264 [4 per cell]

Output
Total DFT energy (no corrections) in eV/cell: -93.51
Magnetization in μB/f.u.: 0.04

***

Lu4NiGeN2 | GGA-PBE | optimized geometry

a = 3.3833 Å, b = 3.3833 Å, c = 13.7799 Å
α = 90.00°, β = 90.00°, γ = 120.00°
Space group P-6m2 (No. 187)
Asymmetric unit:
Lu 0.0000 0.0000 0.1400 [2 per cell]
Lu 0.6667 0.3333 0.3356 [2 per cell]
Ni 0.6667 0.3333 0.0000 [1 per cell]
Ge 0.0000 0.0000 0.5000 [1 per cell]
N 0.3333 0.6667 0.2490 [2 per cell]

Output
Total DFT energy (no corrections) in eV/cell: -53.57
Magnetization in μB/f.u.: 0.00

***

NbNiGe | GGA-PBE | optimized geometry

a = 3.653 Å, b = 3.653 Å, c = 13.042 Å
α = 90.00°, β = 90.00°, γ = 90.00°
Space group I4/mmm (No. 139)
Asymmetric unit:
Nb 0.000 0.000 0.173 [4 per cell]
Ni 0.000 0.500 0.000 [4 per cell]
Ge 0.000 0.000 0.377 [4 per cell]

Output
Total DFT energy (no corrections) in eV/cell: -86.63
Magnetization in μB/f.u.: 0.04

***

BeMoIr2 | GGA-PBE | optimized geometry

a = 6.057 Å, b = 6.057 Å, c = 6.057 Å
α = 90.00°, β = 90.00°, γ = 90.00°
Space group F-43m (No. 216)
Asymmetric unit:
Be 0.000 0.000 0.000 [4 per cell]
Mo 0.250 0.250 0.250 [4 per cell]
Ir 0.000 0.000 0.500 [4 per cell]
Ir 0.250 0.250 0.750 [4 per cell]

Output
Total DFT energy (no corrections) in eV/cell: -127.20
Magnetization in μB/f.u.: 0.52

***

ErTmAs | GGA-PBE | optimized geometry

a = 6.723 Å, b = 6.723 Å, c = 6.723 Å
α = 90.00°, β = 90.00°, γ = 90.00°
Space group F-43m (No. 216)
Asymmetric unit:
Er 0.000 0.000 0.000 [4 per cell]
Tm 0.000 0.000 0.500 [4 per cell]
As 0.250 0.250 0.250 [4 per cell]

Output
Excess energy over the best structure of this formula in the dataset in eV/atom: 0.0000
Magnetization in μB/f.u.: 0.02